{
  "formula": "CsNbF5",
  "functional": "PBE-GGA",
  "state": "relaxed",
  "raw_formation_energy_mev_per_atom": -2969,
  "dft_energy_ev_per_atom": -5.87,
  "lattice": [[5.096, -4.139, 0.000], [5.096, 4.139, 0.000], [-2.610, 0.000, 7.919]],
  "species": ["Cs", "Cs", "Nb", "Nb", "F", "F", "F", "F", "F", "F", "F", "F", "F", "F"],
  "fractional_positions": [[0.000, 0.000, 0.250], [0.000, 0.000, 0.750], [0.500, 0.500, 0.000], [0.500, 0.500, 0.500], [0.234, 0.713, 0.489], [0.264, 0.334, 0.923], [0.287, 0.766, 0.011], [0.334, 0.264, 0.423], [0.499, 0.501, 0.750], [0.501, 0.499, 0.250], [0.666, 0.736, 0.577], [0.713, 0.234, 0.989], [0.736, 0.666, 0.077], [0.766, 0.287, 0.511]]
}